K2Tl2Ni: optimized geometry, PBE.

Computed properties:
Final energy (eV/atom): -2.3939
DOS(E_F) (states/eV per cell): 5.0
Calculated formation energy (eV/atom): 0.148

Structure (POSCAR):
```
K2Tl2Ni
1.0
-1.0622 5.7935 4.1304
1.4558 -3.9109 5.8599
5.9732 1.4590 -0.5103
Tl Ni K
4 2 4
direct
0.8256 0.6744 0.0000
0.1744 0.3256 0.0000
0.3256 0.8256 0.0000
0.6744 0.1744 0.0000
0.5000 0.5000 0.0000
0.0000 0.0000 0.0000
0.1755 0.6755 0.5000
0.3245 0.1755 0.5000
0.8245 0.3245 0.5000
0.6755 0.8245 0.5000
```

KTl2Ni: optimized geometry, PBE.

Computed properties:
Final energy (eV/atom): -2.3967
DOS(E_F) (states/eV per cell): 4.7
Calculated formation energy (eV/atom): 0.506

Structure (POSCAR):
```
KTl2Ni
1.0
-1.9463 0.8622 -2.6002
3.9404 -2.4040 -3.7466
-0.1263 -6.2853 -1.9896
Tl K Ni
2 1 1
direct
0.5000 0.5000 0.0000
0.0000 0.0000 0.0000
0.5000 0.5000 0.5000
0.0000 0.0000 0.5000
```

KTl2Ni: optimized geometry, PBE.

Computed properties:
Final energy (eV/atom): -2.7739
DOS(E_F) (states/eV per cell): 2.1
Calculated formation energy (eV/atom): 0.129

Structure (POSCAR):
```
KTl2Ni
1.0
-0.5473 -2.0366 -2.7170
2.6745 -1.9216 0.9016
-2.4914 -6.8971 5.6717
K Tl Ni
1 2 1
direct
0.5000 0.2500 0.2500
0.0000 0.4325 0.5666
0.0000 0.0675 0.9334
0.5000 0.7500 0.7500
```

KTlNi2: optimized geometry, PBE.

Computed properties:
Energy relative to the lowest polymorph listed for this composition (meV per atom): 545
Final energy (eV/atom): -2.9928
DOS(E_F) (states/eV per cell): 5.4
Calculated formation energy (eV/atom): 0.764

Structure (POSCAR):
```
KTlNi2
1.0
5.4619 -0.0006 0.0000
2.3777 4.9172 0.0000
-3.9198 -2.4583 2.9025
Ni K Tl
2 1 1
direct
0.0000 0.0000 0.0000
0.2500 0.7500 0.5000
0.7500 0.2500 0.5000
0.5000 0.5000 0.0000
```

KTl2Ni: optimized geometry, PBE.

Computed properties:
Final energy (eV/atom): -2.7144
DOS(E_F) (states/eV per cell): 2.3
Calculated formation energy (eV/atom): 0.188

Structure (POSCAR):
```
KTl2Ni
1.0
6.4436 -0.0456 -0.0257
2.7442 5.8302 0.0257
-3.6236 -4.4336 2.9557
Tl Ni K
2 1 1
direct
0.4412 0.4412 0.0000
0.0588 0.0588 0.0000
0.2500 0.7500 0.5000
0.7500 0.2500 0.5000
```

KTl3Ni: optimized geometry, PBE.

Computed properties:
Energy relative to the lowest polymorph listed for this composition (meV per atom): 0
Final energy (eV/atom): -2.7764
DOS(E_F) (states/eV per cell): 3.0
Calculated formation energy (eV/atom): 0.019

Structure (POSCAR):
```
KTl3Ni
1.0
-2.1560 -4.3467 -2.0235
3.1848 -2.9568 2.9582
-3.5841 -0.0126 3.8459
Tl K Ni
3 1 1
direct
0.0000 0.0000 0.5000
0.5000 0.0000 0.0000
0.0000 0.5000 0.0000
0.5000 0.5000 0.5000
0.0000 0.0000 0.0000
```

KTlNi4: optimized geometry, PBE.

Computed properties:
Final energy (eV/atom): -4.0367
DOS(E_F) (states/eV per cell): 9.4
Calculated formation energy (eV/atom): 0.395

Structure (POSCAR):
```
KTlNi4
1.0
0.0000 3.6148 3.6148
3.6148 0.0000 3.6148
3.6148 3.6148 0.0000
Ni K Tl
4 1 1
direct
0.3760 0.8721 0.3760
0.3760 0.3760 0.8721
0.8721 0.3760 0.3760
0.3760 0.3760 0.3760
0.0000 0.0000 0.0000
0.7500 0.7500 0.7500
```

KTl4Ni: optimized geometry, PBE.

Computed properties:
Final energy (eV/atom): -2.2955
DOS(E_F) (states/eV per cell): 8.0
Calculated formation energy (eV/atom): 0.428

Structure (POSCAR):
```
KTl4Ni
1.0
2.3402 -5.9430 -0.4830
-3.6913 -5.0247 1.4682
-2.0919 -3.8992 -4.6313
Tl K Ni
4 1 1
direct
0.8779 0.3740 0.3740
0.3740 0.3740 0.8779
0.3740 0.8779 0.3740
0.3740 0.3740 0.3740
0.7500 0.7500 0.7500
0.0000 0.0000 0.0000
```

KTl2Ni: optimized geometry, PBE.

Computed properties:
Final energy (eV/atom): -2.7303
DOS(E_F) (states/eV per cell): 2.1
Calculated formation energy (eV/atom): 0.173

Structure (POSCAR):
```
KTl2Ni
1.0
4.6579 0.0000 0.0000
0.0000 5.0464 0.1522
0.0000 2.3640 6.3393
Ni Tl K
1 2 1
direct
0.5000 0.7879 0.0484
0.5000 0.2673 0.0894
0.0000 0.8651 0.8943
0.0000 0.5797 0.4679
```

KTlNi2: optimized geometry, PBE.

Computed properties:
Energy relative to the lowest polymorph listed for this composition (meV per atom): 304
Final energy (eV/atom): -3.2338
DOS(E_F) (states/eV per cell): 3.4
Calculated formation energy (eV/atom): 0.523

Structure (POSCAR):
```
KTlNi2
1.0
3.0691 0.0000 0.0000
0.0000 3.9025 0.0000
0.0000 0.0000 7.2490
Ni K Tl
2 1 1
direct
0.0000 0.0000 0.4142
0.0000 0.0000 0.0858
0.5000 0.5000 0.7500
0.5000 0.5000 0.2500
```

KTlNi2: optimized geometry, PBE.

Computed properties:
Energy relative to the lowest polymorph listed for this composition (meV per atom): 121
Final energy (eV/atom): -3.4170
DOS(E_F) (states/eV per cell): 5.4
Calculated formation energy (eV/atom): 0.340

Structure (POSCAR):
```
KTlNi2
1.0
-0.0934 -1.5846 -2.8233
3.1983 0.5957 -0.4401
1.8047 -6.8806 3.8021
Tl Ni K
1 2 1
direct
0.0000 0.0000 0.4276
0.5000 0.5000 0.1827
0.0000 0.0000 0.1009
0.5000 0.5000 0.7888
```

KTl2Ni: optimized geometry, PBE.

Computed properties:
Final energy (eV/atom): -2.7783
DOS(E_F) (states/eV per cell): 2.1
Calculated formation energy (eV/atom): 0.125

Structure (POSCAR):
```
KTl2Ni
1.0
-4.0011 -1.2258 0.4461
-2.2638 -1.0141 -3.3996
0.2457 -8.1017 -0.3350
Ni K Tl
1 1 2
direct
0.3333 0.3333 0.0015
0.4992 0.4992 0.4980
0.7201 0.7201 0.8424
0.9474 0.9474 0.1581
```